DFT (GGA-PBE) results for a relaxed structure of Ca2ZnCu16.

Properties
- symmetry = R3m (160)
- energy (Ry/atom) = -0.280
- formation enthalpy at 0 K (eV/atom) = -0.08

```
Ca2ZnCu16
1.0
4.3041 2.4850 4.1929
-4.3041 2.4850 4.1929
0.0000 -4.9700 4.1929
Ca Zn Cu
2 1 16
direct
0.0000 0.0000 0.0000
0.3118 0.3118 0.3118
0.7500 0.7500 0.7500
0.1545 0.6532 0.6532
0.3115 0.3115 0.8049
0.3115 0.8049 0.3115
0.3568 0.6533 0.9497
0.3568 0.9497 0.6533
0.5010 0.9969 0.9969
0.5553 0.5553 0.5553
0.6532 0.1545 0.6532
0.6533 0.3568 0.9497
0.6532 0.6532 0.1545
0.6533 0.9497 0.3568
0.8049 0.3115 0.3115
0.9497 0.3568 0.6533
0.9497 0.6533 0.3568
0.9969 0.5010 0.9969
0.9969 0.9969 0.5010
```



DFT (GGA-PBE) results for a relaxed structure of Li2CaPm2Tl2.

Properties
- symmetry = R-3m (166)
- energy (Ry/atom) = -0.225
- formation enthalpy at 0 K (eV/atom) = -0.20

```
Li2CaPm2Tl2
1.0
2.4553 1.4176 9.2824
-2.4553 1.4176 9.2824
0.0000 -2.8351 9.2824
Li Ca Pm Tl
2 1 2 2
direct
0.1070 0.1070 0.1070
0.8930 0.8930 0.8930
0.5000 0.5000 0.5000
0.3727 0.3727 0.3727
0.6273 0.6273 0.6273
0.2406 0.2406 0.2406
0.7594 0.7594 0.7594
```



DFT (GGA-PBE) results for a relaxed structure of Co2Ni2Ge.

Properties
- symmetry = P4/mbm (127)
- energy (Ry/atom) = -0.435
- formation enthalpy at 0 K (eV/atom) = 0.16
- excess energy over the best structure of this formula in the dataset (kJ per mole of atoms) = 2.7

```
Co2Ni2Ge
1.0
5.9372 0.0000 0.0000
0.0000 5.9372 0.0000
0.0000 0.0000 3.5328
Co Ni Ge
4 4 2
direct
0.1528 0.3472 0.0000
0.3472 0.8472 0.0000
0.6528 0.1528 0.0000
0.8472 0.6528 0.0000
0.1380 0.6380 0.5000
0.3620 0.1380 0.5000
0.6380 0.8620 0.5000
0.8620 0.3620 0.5000
0.0000 0.0000 0.5000
0.5000 0.5000 0.5000
```



DFT (GGA-PBE) results for a relaxed structure of K3Cd2Ga4.

Properties
- symmetry = P-1 (2)
- energy (Ry/atom) = -0.145
- formation enthalpy at 0 K (eV/atom) = -0.06

```
K3Cd2Ga4
1.0
4.7519 0.0000 0.0000
2.3729 6.3752 0.0000
2.2853 2.6895 9.1331
K Cd Ga
3 2 4
direct
0.0000 0.0000 0.0000
0.3719 0.8840 0.3693
0.6281 0.1160 0.6307
0.3296 0.5878 0.7595
0.6704 0.4122 0.2405
0.0845 0.4516 0.3770
0.2590 0.3945 0.0810
0.7410 0.6055 0.9190
0.9155 0.5484 0.6230
```



DFT (GGA-PBE) results for a relaxed structure of AgBSbO2.

Properties
- symmetry = P4/mmm (123)
- energy (Ry/atom) = -0.286
- ΔE_f (raw) (meV per atom) = 818

```
AgBSbO2
1.0
4.1075 0.0000 0.0000
0.0000 4.1075 0.0000
0.0000 0.0000 4.3044
Ag B Sb O
1 1 1 2
direct
0.0000 0.0000 0.0000
0.0000 0.0000 0.5000
0.5000 0.5000 0.5000
0.0000 0.5000 0.0000
0.5000 0.0000 0.0000
```



DFT (GGA-PBE) results for a relaxed structure of HgAs2Br.

Properties
- symmetry = Pmmm (47)
- energy (Ry/atom) = -0.177
- ΔE_f (raw) (meV per atom) = 408
- excess energy over the best structure of this formula in the dataset (kJ per mole of atoms) = 44.2

```
HgAs2Br
1.0
3.3268 0.0000 0.0000
0.0000 4.8472 0.0000
0.0000 0.0000 5.6381
Hg As Br
1 2 1
direct
0.0000 0.0000 0.0000
0.0000 0.5000 0.5000
0.5000 0.5000 0.0000
0.5000 0.0000 0.5000
```